Record 1
Below is a geometry-optimized Tb3CeY4Se8 structure, with properties calculated at the PBE-GGA level.

The space group is R-3m (No. 166, hexagonal axes) and the conventional cell measures 8.2036, 8.2036 and 20.1382 Å, with angles of 90.00, 90.00 and 120.00 degrees. The distinct sites, in fractional coordinates, are Tb at (0.0000, 0.5000, 0.0000), Ce at (0.0000, 0.0000, 0.0000), Y at (0.0000, 0.0000, 0.5000), Y at (0.0000, 0.5000, 0.5000), Se at (0.0000, 0.0000, 0.2498) and Se at (0.0035, 0.5017, 0.2489).

The total magnetization comes out at 0.8 μB per formula unit. The total energy comes out at -6.374 eV per atom. The value obtained for the energy relative to the elements, uncorrected is -171.4 kJ/mol of atoms.

***

Record 2
Below is a geometry-optimized In2Sb2Rh structure, with properties calculated at the PBE-GGA level.

The space group is P4/mbm (No. 127) and the conventional cell measures 6.827, 6.827 and 5.561 Å, with angles of 90.00, 90.00 and 90.00 degrees. The distinct sites, in fractional coordinates, are In at (0.173, 0.327, 0.000), Sb at (0.150, 0.650, 0.500) and Rh at (0.000, 0.000, 0.500).

The total magnetization comes out at 0.0 μB per formula unit. The total energy comes out at -4.259 eV per atom. The value obtained for the energy relative to the elements, uncorrected is -4.3 kJ/mol of atoms.